# Ag2AsOs | Alexandria | PBE-GGA | optimized geometry
data_Ag2AsOs
_chemical_formula_sum 'Ag4 As2 Os2'
_space_group_name_H-M_alt 'C m m 2'
_space_group_IT_number 35
_cell_length_a 2.965
_cell_length_b 4.860
_cell_length_c 9.815
_cell_angle_alpha 90.00
_cell_angle_beta 90.00
_cell_angle_gamma 90.00
loop_
_space_group_symop_operation_xyz
'x,y,z'
'-x,-y,z'
'-x,y,z'
'x,-y,z'
'x+1/2,y+1/2,z'
'-x+1/2,-y+1/2,z'
'-x+1/2,y+1/2,z'
'x+1/2,-y+1/2,z'
loop_
_atom_site_label
_atom_site_fract_x
_atom_site_fract_y
_atom_site_fract_z
Ag1 0.000 0.000 0.000
Ag2 0.000 0.500 0.251
As1 0.000 0.000 0.549
Os1 0.000 0.500 0.750
# - Calculated density: 11.29 g/cm³
# - Formation energy from the elements: 0.423 eV per atom
# - Final energy: -39.779 eV per cell